## PmZrBiTe (GGA-PBE)

Data for a relaxed structure of PmZrBiTe.

Computed properties:
DFT total energy = -0.2109 hartree per atom
Mass density = 8885 kg/m³
Total magnetization = 1.0 μB per formula unit
Energy relative to the elements, uncorrected = -658 meV per atom

abc: 5.3298 5.3298 5.3298
angles: 60.00 60.00 60.00
With the nearest neighbours (Å) after each atom.
Atoms (fractional coordinates):
1 Pm 0.0000 0.0000 0.0000  4 Te 3.26, 4 Bi 3.26
2 Zr 0.5000 0.5000 0.5000  4 Bi 3.26, 4 Te 3.26
3 Bi 0.2500 0.2500 0.2500  4 Zr 3.26, 4 Pm 3.26
4 Te 0.7500 0.7500 0.7500  4 Pm 3.26, 4 Zr 3.26



## Be2TlBF (GGA-PBE)

Data for a relaxed structure of Be2TlBF.

Computed properties:
DFT total energy = -0.1382 hartree per atom
Mass density = 4746 kg/m³
Total magnetization = 0.0 μB per formula unit
Energy relative to the elements, uncorrected = -87 meV per atom

abc: 3.6444 3.6444 6.6438
angles: 90.00 90.00 90.00
With the nearest neighbours (Å) after each atom.
Atoms (fractional coordinates):
1 Be 0.0000 0.5000 0.0000  2 B 1.82
2 Be 0.5000 0.0000 0.0000  2 B 1.82
3 Tl 0.0000 0.0000 0.5000  4 F 2.58
4 B 0.5000 0.5000 0.0000  4 Be 1.82
5 F 0.5000 0.5000 0.5000  4 Tl 2.58



## Cs2ReRu (GGA-PBE)

Data for a relaxed structure of Cs2ReRu.

Computed properties:
DFT total energy = -0.1215 hartree per atom
Mass density = 6101 kg/m³
Total magnetization = 7.0 μB per formula unit
Formation enthalpy at 0 K = 2551 meV/atom
Offset from the most stable computed form = 1061 meV per atom

abc: 5.9712 5.9712 5.9712
angles: 60.00 60.00 60.00
With the nearest neighbours (Å) after each atom.
Atoms (fractional coordinates):
1 Cs 0.2500 0.2500 0.2500  4 Re 3.66, 4 Ru 3.66
2 Cs 0.7500 0.7500 0.7500  4 Re 3.66, 4 Ru 3.66
3 Re 0.0000 0.0000 0.0000  8 Cs 3.66
4 Ru 0.5000 0.5000 0.5000  8 Cs 3.66



## K3Mo2Cl9 (GGA-PBE)

Data for a relaxed structure of K3Mo2Cl9.

Computed properties:
DFT total energy = -0.1587 hartree per atom
Mass density = 2635 kg/m³
Total magnetization = 4.0 μB per formula unit
Energy relative to the elements, uncorrected = -1349 meV per atom
Offset from the most stable computed form = 19 meV per atom

abc: 9.3443 9.3443 9.3443
angles: 81.57 81.57 81.57
With the nearest neighbours (Å) after each atom.
Atoms (fractional coordinates):
1 K 0.0986 0.7500 0.4014  10 Cl 3.37-3.69
2 K 0.2500 0.5986 0.9014  10 Cl 3.37-3.69
3 K 0.4014 0.0986 0.7500  10 Cl 3.37-3.69
4 K 0.5986 0.9014 0.2500  10 Cl 3.37-3.69
5 K 0.7500 0.4014 0.0986  10 Cl 3.37-3.69
6 K 0.9014 0.2500 0.5986  10 Cl 3.37-3.69
7 Mo 0.1748 0.1748 0.1748  6 Cl 2.42-2.48
8 Mo 0.3252 0.3252 0.3252  6 Cl 2.42-2.48
9 Mo 0.6748 0.6748 0.6748  6 Cl 2.42-2.48
10 Mo 0.8252 0.8252 0.8252  6 Cl 2.42-2.48
11 Cl 0.0635 0.8970 0.7333  1 Mo 2.42
12 Cl 0.0814 0.4186 0.2500  2 Mo 2.48
13 Cl 0.1030 0.2667 0.9365  1 Mo 2.42
14 Cl 0.2333 0.3970 0.5635  1 Mo 2.42
15 Cl 0.2500 0.0814 0.4186  2 Mo 2.48
16 Cl 0.2667 0.9365 0.1030  1 Mo 2.42
17 Cl 0.3970 0.5635 0.2333  1 Mo 2.42
18 Cl 0.4186 0.2500 0.0814  2 Mo 2.48
19 Cl 0.4365 0.7667 0.6030  1 Mo 2.42
20 Cl 0.5635 0.2333 0.3970  1 Mo 2.42
21 Cl 0.5814 0.7500 0.9186  2 Mo 2.48
22 Cl 0.6030 0.4365 0.7667  1 Mo 2.42
23 Cl 0.7333 0.0635 0.8970  1 Mo 2.42
24 Cl 0.7500 0.9186 0.5814  2 Mo 2.48
25 Cl 0.7667 0.6030 0.4365  1 Mo 2.42
26 Cl 0.8970 0.7333 0.0635  1 Mo 2.42
27 Cl 0.9186 0.5814 0.7500  2 Mo 2.48
28 Cl 0.9365 0.1030 0.2667  1 Mo 2.42



## Sm2Y3Th4 (GGA-PBE)

Data for a relaxed structure of Sm2Y3Th4.

Computed properties:
DFT total energy = -0.2375 hartree per atom
Mass density = 8441 kg/m³
Total magnetization = 0.0 μB per formula unit
Formation enthalpy at 0 K = 38 meV/atom

abc: 8.0218 8.0218 8.0591
angles: 107.73 107.73 36.80
With the nearest neighbours (Å) after each atom.
Atoms (fractional coordinates):
1 Sm 0.0607 0.0607 0.3313  5 Th 3.53-3.68, 6 Y 3.58-3.69, 1 Sm 3.75
2 Sm 0.9393 0.9393 0.6687  5 Th 3.53-3.68, 6 Y 3.58-3.69, 1 Sm 3.75
3 Y 0.3845 0.3845 0.3295  6 Th 3.47-3.60, 4 Sm 3.62-3.69, 2 Y 3.63-3.70
4 Y 0.5000 0.5000 0.0000  4 Sm 3.58, 6 Th 3.58-3.62, 2 Y 3.63
5 Y 0.6155 0.6155 0.6705  6 Th 3.47-3.60, 4 Sm 3.62-3.69, 2 Y 3.63-3.70
6 Th 0.1704 0.1704 0.0032  5 Y 3.47-3.62, 5 Th 3.52-3.57, 2 Sm 3.55-3.68
7 Th 0.2771 0.2771 0.6680  3 Sm 3.53, 4 Y 3.53-3.60, 5 Th 3.57-3.60
8 Th 0.7229 0.7229 0.3320  3 Sm 3.53, 4 Y 3.53-3.60, 5 Th 3.57-3.60
9 Th 0.8296 0.8296 0.9968  5 Y 3.47-3.62, 5 Th 3.52-3.57, 2 Sm 3.55-3.68



## K3Dy3GaO8 (GGA-PBE)

Data for a relaxed structure of K3Dy3GaO8.

Computed properties:
DFT total energy = -0.2354 hartree per atom
Mass density = 5323 kg/m³
Total magnetization = 1.2 μB per formula unit
Energy relative to the elements, uncorrected = -2420 meV per atom

abc: 7.3985 7.3985 7.3985
angles: 54.60 54.60 54.60
With the nearest neighbours (Å) after each atom.
Atoms (fractional coordinates):
1 K 0.0000 0.5000 0.5000  6 O 2.79
2 K 0.5000 0.0000 0.5000  6 O 2.79
3 K 0.5000 0.5000 0.0000  6 O 2.79
4 Dy 0.0000 0.0000 0.5000  6 O 2.27-2.31
5 Dy 0.0000 0.5000 0.0000  6 O 2.27-2.31
6 Dy 0.5000 0.0000 0.0000  6 O 2.27-2.31
7 Ga 0.5000 0.5000 0.5000  6 O 2.10
8 O 0.2277 0.2277 0.2277  3 Dy 2.27
9 O 0.2506 0.7108 0.7108  1 Ga 2.10, 2 Dy 2.31
10 O 0.2892 0.2892 0.7494  1 Ga 2.10, 2 Dy 2.31
11 O 0.2892 0.7494 0.2892  1 Ga 2.10, 2 Dy 2.31
12 O 0.7108 0.2506 0.7108  1 Ga 2.10, 2 Dy 2.31
13 O 0.7108 0.7108 0.2506  1 Ga 2.10, 2 Dy 2.31
14 O 0.7494 0.2892 0.2892  1 Ga 2.10, 2 Dy 2.31
15 O 0.7723 0.7723 0.7723  3 Dy 2.27



## SrCN2O (GGA-PBE)

Data for a relaxed structure of SrCN2O.

Computed properties:
DFT total energy = -0.1409 hartree per atom
Mass density = 1951 kg/m³
Total magnetization = 4.0 μB per formula unit
Energy relative to the elements, uncorrected = 2668 meV per atom

abc: 5.0946 5.0946 4.7099
angles: 90.00 90.00 90.00
With the nearest neighbours (Å) after each atom.
Atoms (fractional coordinates):
1 Sr 0.0000 0.0000 0.0000  2 O 2.35, 4 N 2.55
2 C 0.5000 0.5000 0.5000  8 N 3.47, 4 O 3.60
3 N 0.0000 0.5000 0.0000  2 Sr 2.55
4 N 0.5000 0.0000 0.0000  2 Sr 2.55
5 O 0.0000 0.0000 0.5000  2 Sr 2.35



## CaSbW2 (GGA-PBE)

Data for a relaxed structure of CaSbW2.

Computed properties:
DFT total energy = -0.2758 hartree per atom
Mass density = 10451 kg/m³
Total magnetization = 0.0 μB per formula unit
Energy relative to the elements, uncorrected = 502 meV per atom

abc: 3.1018 3.1018 9.2335
angles: 90.00 90.00 108.73
With the nearest neighbours (Å) after each atom.
Atoms (fractional coordinates):
1 Ca 0.0000 0.0000 0.0000  4 Ca 3.10, 2 W 3.11, 2 Sb 3.20
2 Sb 0.5000 0.5000 0.7134  2 W 2.88, 4 Sb 3.10, 2 Ca 3.20
3 W 0.0000 0.0000 0.4707  2 W 2.57
4 W 0.5000 0.5000 0.2735  2 W 2.57



## Hf2TiCdC (GGA-PBE)

Data for a relaxed structure of Hf2TiCdC.

Computed properties:
DFT total energy = -0.2944 hartree per atom
Mass density = 10121 kg/m³
Total magnetization = 0.0 μB per formula unit
Formation enthalpy at 0 K = -422 meV/atom

abc: 4.5062 4.5062 4.2762
angles: 90.00 90.00 90.00
With the nearest neighbours (Å) after each atom.
Atoms (fractional coordinates):
1 Hf 0.0000 0.5000 0.0000  2 C 2.25
2 Hf 0.5000 0.0000 0.0000  2 C 2.25
3 Ti 0.0000 0.0000 0.5000  2 C 2.14
4 Cd 0.5000 0.5000 0.5000  8 Hf 3.11, 4 Ti 3.19
5 C 0.0000 0.0000 0.0000  2 Ti 2.14, 4 Hf 2.25



## CrSb2Au (GGA-PBE)

Data for a relaxed structure of CrSb2Au.

Computed properties:
DFT total energy = -0.1863 hartree per atom
Mass density = 9101 kg/m³
Total magnetization = 3.7 μB per formula unit
Energy relative to the elements, uncorrected = 218 meV per atom

abc: 4.5292 4.5292 5.9844
angles: 105.10 105.10 49.83
With the nearest neighbours (Å) after each atom.
Atoms (fractional coordinates):
1 Cr 0.0000 0.0000 0.0000  6 Sb 2.78-2.84
2 Sb 0.2509 0.2509 0.7718  3 Cr 2.78-2.84, 3 Au 2.93-2.96
3 Sb 0.7491 0.7491 0.2282  3 Cr 2.78-2.84, 3 Au 2.93-2.96
4 Au 0.5000 0.5000 0.5000  6 Sb 2.93-2.96



## BaLa2Pr3Te6 (GGA-PBE)

Data for a relaxed structure of BaLa2Pr3Te6.

Computed properties:
DFT total energy = -0.1940 hartree per atom
Mass density = 6382 kg/m³
Total magnetization = 0.0 μB per formula unit
Energy relative to the elements, uncorrected = -1531 meV per atom

abc: 10.3096 10.3096 9.2947
angles: 102.99 102.99 25.72
With the nearest neighbours (Å) after each atom.
Atoms (fractional coordinates):
1 Ba 0.0000 0.0000 0.0000  6 Te 3.35-3.38
2 La 0.3308 0.3308 0.6628  6 Te 3.24-3.31
3 La 0.6692 0.6692 0.3372  6 Te 3.24-3.31
4 Pr 0.0000 0.0000 0.5000  6 Te 3.18-3.23
5 Pr 0.3366 0.3366 0.1765  6 Te 3.21-3.30
6 Pr 0.6634 0.6634 0.8235  6 Te 3.21-3.30
7 Te 0.1650 0.1650 0.5821  3 Pr 3.21-3.23, 3 La 3.24-3.25
8 Te 0.1728 0.1728 0.0824  3 Pr 3.21-3.30, 2 La 3.31, 1 Ba 3.38
9 Te 0.4978 0.4978 0.7357  3 Pr 3.18-3.24, 1 La 3.27, 2 Ba 3.35
10 Te 0.5022 0.5022 0.2643  3 Pr 3.18-3.24, 1 La 3.27, 2 Ba 3.35
11 Te 0.8272 0.8272 0.9176  3 Pr 3.21-3.30, 2 La 3.31, 1 Ba 3.38
12 Te 0.8350 0.8350 0.4179  3 Pr 3.21-3.23, 3 La 3.24-3.25



## PrHoHgRu (GGA-PBE)

Data for a relaxed structure of PrHoHgRu.

Computed properties:
DFT total energy = -0.1841 hartree per atom
Mass density = 10609 kg/m³
Total magnetization = 0.0 μB per formula unit
Formation enthalpy at 0 K = -275 meV/atom
Offset from the most stable computed form = 113 meV per atom

abc: 5.1232 5.1232 5.1232
angles: 60.00 60.00 60.00
With the nearest neighbours (Å) after each atom.
Atoms (fractional coordinates):
1 Pr 0.0000 0.0000 0.0000  4 Hg 3.14, 4 Ru 3.14
2 Ho 0.5000 0.5000 0.5000  4 Hg 3.14, 4 Ru 3.14
3 Hg 0.2500 0.2500 0.2500  4 Ho 3.14, 4 Pr 3.14
4 Ru 0.7500 0.7500 0.7500  4 Ho 3.14, 4 Pr 3.14